VASP calculation (GGA-PBE) on a relaxed structure of Nd2AlZn2Pd5.

abc: 3.6725 9.9691 9.9691
angles: 90.00 90.00 90.00
Last column: nearest neighbours and their distance in Å.
Positions (direct):
Pd (0.5000, 0.4410, 0.3000)  2 Zn 2.63, 2 Al 2.77, 2 Pd 2.94
Pd (0.5000, 0.3000, 0.5590)  2 Zn 2.63, 2 Al 2.77, 2 Pd 2.94
Pd (0.5000, 0.7000, 0.4410)  2 Zn 2.63, 2 Al 2.77, 2 Pd 2.94
Pd (0.5000, 0.2000, 0.0590)  2 Zn 2.63, 2 Al 2.77, 2 Pd 2.94
Pd (0.5000, 0.5000, 0.0000)  4 Zn 2.52
Pd (0.5000, 0.8000, 0.9410)  2 Zn 2.63, 2 Al 2.77, 2 Pd 2.94
Pd (0.5000, 0.5590, 0.7000)  2 Zn 2.63, 2 Al 2.77, 2 Pd 2.94
Pd (0.5000, 0.0590, 0.8000)  2 Zn 2.63, 2 Al 2.77, 2 Pd 2.94
Pd (0.5000, 0.9410, 0.2000)  2 Zn 2.63, 2 Al 2.77, 2 Pd 2.94
Pd (0.5000, 0.0000, 0.5000)  4 Zn 2.52
Zn (0.0000, 0.1226, 0.6226)  6 Pd 2.52-2.63
Zn (0.0000, 0.8774, 0.3774)  6 Pd 2.52-2.63
Zn (0.0000, 0.6226, 0.8774)  6 Pd 2.52-2.63
Zn (0.0000, 0.3774, 0.1226)  6 Pd 2.52-2.63
Al (0.0000, 0.5000, 0.5000)  8 Pd 2.77
Al (0.0000, 0.0000, 0.0000)  8 Pd 2.77
Nd (0.0000, 0.1762, 0.3238)  3 Zn 2.84-3.03, 2 Pd 3.09
Nd (0.0000, 0.6762, 0.1762)  3 Zn 2.84-3.03, 2 Pd 3.09
Nd (0.0000, 0.3238, 0.8238)  3 Zn 2.84-3.03, 2 Pd 3.09
Nd (0.0000, 0.8238, 0.6762)  3 Zn 2.84-3.03, 2 Pd 3.09

## Properties
ΔE_f: -0.677 eV per atom
electronic total energy: -97.1 eV per cell


VASP calculation (GGA-PBE) on a relaxed structure of TlGe3Os.

abc: 4.8718 4.8718 4.8718
angles: 90.00 90.00 90.00
Last column: nearest neighbours and their distance in Å.
Positions (direct):
Tl (0.5000, 0.5000, 0.5000)  12 Ge 3.44
Ge (0.0000, 0.5000, 0.0000)  2 Os 2.44
Ge (0.5000, 0.0000, 0.0000)  2 Os 2.44
Ge (0.0000, 0.0000, 0.5000)  2 Os 2.44
Os (0.0000, 0.0000, 0.0000)  6 Ge 2.44

## Properties
ΔE_f: 0.347 eV per atom
electronic total energy: -25.7 eV per cell


VASP calculation (GGA-PBE) on a relaxed structure of Ac4Hg2BiIr.

abc: 4.4913 8.6227 8.0889
angles: 106.29 90.00 90.00
Last column: nearest neighbours and their distance in Å.
Positions (direct):
Ac (0.0000, 0.2994, 0.7918)  2 Ir 3.04, 1 Hg 3.29
Ac (0.5000, 0.7189, 0.7787)  1 Ir 2.94
Ac (0.0000, 0.7006, 0.2082)  2 Ir 3.04, 1 Hg 3.29
Ac (0.5000, 0.2811, 0.2213)  1 Ir 2.94
Hg (0.0000, 0.5000, 0.5000)  6 Ac 3.29-3.36
Hg (0.5000, 0.0000, 0.5000)  6 Ac 3.72-3.74
Ir (0.5000, 0.5000, 0.0000)  6 Ac 2.94-3.04
Bi (0.0000, 0.0000, 0.0000)  6 Ac 3.42-3.46

## Properties
ΔE_f: -0.582 eV per atom
electronic total energy: -34.4 eV per cell


VASP calculation (GGA-PBE) on a relaxed structure of BeSi4Os.

abc: 4.8467 4.8467 4.8467
angles: 60.00 60.00 60.00
Last column: nearest neighbours and their distance in Å.
Positions (direct):
Si (0.3755, 0.3755, 0.3755)  6 Si 2.41-2.43
Si (0.8736, 0.3755, 0.3755)  6 Si 2.41-2.43
Si (0.3755, 0.8736, 0.3755)  6 Si 2.41-2.43
Si (0.3755, 0.3755, 0.8736)  6 Si 2.41-2.43
Os (0.0000, 0.0000, 0.0000)  12 Si 2.84, 4 Be 2.97
Be (0.7500, 0.7500, 0.7500)  12 Si 2.84, 4 Os 2.97

## Properties
electronic total energy: -32.2 eV per cell


VASP calculation (GGA-PBE) on a relaxed structure of Ca3Mg2Cu4.

abc: 4.3980 5.7172 8.7133
angles: 97.02 90.00 112.62
Last column: nearest neighbours and their distance in Å.
Positions (direct):
Ca (0.6277, 0.2554, 0.3809)  6 Cu 3.02-3.15, 1 Mg 3.34
Ca (0.0000, 0.0000, 0.0000)  2 Cu 2.95
Ca (0.3723, 0.7446, 0.6191)  6 Cu 3.02-3.15, 1 Mg 3.34
Cu (0.7359, 0.4718, 0.0767)  3 Mg 2.60-2.64, 2 Cu 2.61
Cu (0.9215, 0.8430, 0.3755)  1 Cu 2.55, 2 Mg 2.71
Cu (0.2641, 0.5282, 0.9233)  3 Mg 2.60-2.64, 2 Cu 2.61
Cu (0.0785, 0.1570, 0.6245)  1 Cu 2.55, 2 Mg 2.71
Mg (0.3222, 0.6445, 0.2222)  5 Cu 2.60-2.71
Mg (0.6778, 0.3555, 0.7778)  5 Cu 2.60-2.71

## Properties
ΔE_f: -0.120 eV per atom
electronic total energy: -26.7 eV per cell


VASP calculation (GGA-PBE) on a relaxed structure of Be2CoBr.

abc: 3.5270 3.5270 5.1858
angles: 90.06 90.06 59.96
Last column: nearest neighbours and their distance in Å.
Positions (direct):
Be (0.6251, 0.6251, 0.9070)  3 Be 2.09, 1 Br 2.32
Be (0.9584, 0.9584, 0.0001)  3 Be 2.09, 3 Co 2.15
Co (0.2918, 0.2918, 0.1336)  6 Be 2.15-2.35
Br (0.6246, 0.6246, 0.4593)  1 Be 2.32

## Properties
electronic total energy: -15.7 eV per cell


VASP calculation (GGA-PBE) on a relaxed structure of Sr2Mg5Ag4.

abc: 6.0568 7.3557 7.3547
angles: 79.35 65.68 65.69
Last column: nearest neighbours and their distance in Å.
Positions (direct):
Mg (0.7491, 0.8047, 0.1953)  4 Ag 2.90-3.08, 3 Mg 3.02-3.24
Mg (0.0000, 0.5000, 0.5000)  4 Ag 2.78
Mg (0.7490, 0.1953, 0.8047)  4 Ag 2.90-3.08, 3 Mg 3.02-3.24
Mg (0.2509, 0.1953, 0.8047)  4 Ag 2.90-3.08, 3 Mg 3.02-3.24
Mg (0.2510, 0.8047, 0.1953)  4 Ag 2.90-3.08, 3 Mg 3.02-3.24
Ag (0.7575, 0.5789, 0.9060)  5 Mg 2.78-3.07, 1 Ag 3.07
Ag (0.2426, 0.0942, 0.4206)  5 Mg 2.78-3.08, 1 Ag 3.07
Ag (0.7574, 0.9058, 0.5794)  5 Mg 2.78-3.08, 1 Ag 3.07
Ag (0.2425, 0.4211, 0.0940)  5 Mg 2.78-3.07, 1 Ag 3.07
Sr (0.7139, 0.2860, 0.2863)  6 Ag 3.19-3.41
Sr (0.2861, 0.7140, 0.7137)  6 Ag 3.19-3.41

## Properties
ΔE_f: -0.180 eV per atom
electronic total energy: -24.7 eV per cell


VASP calculation (GGA-PBE) on a relaxed structure of La3Pr8Sc.

abc: 8.5879 8.5879 8.5879
angles: 94.11 117.65 117.65
Last column: nearest neighbours and their distance in Å.
Positions (direct):
Pr (0.0000, 0.2569, 0.7757)  1 Sc 3.03, 1 La 3.27, 2 Pr 3.28-3.39
Pr (0.5189, 0.7431, 0.7431)  1 Sc 3.03, 1 La 3.27, 2 Pr 3.28-3.39
Pr (0.7526, 0.1207, 0.1207)  3 Pr 3.11-3.39, 1 Sc 3.26, 1 La 3.37
Pr (0.4811, 0.2243, 0.2243)  1 Sc 3.03, 1 La 3.27, 2 Pr 3.28-3.39
Pr (0.0000, 0.7757, 0.2569)  1 Sc 3.03, 1 La 3.27, 2 Pr 3.28-3.39
Pr (0.0000, 0.8793, 0.6319)  3 Pr 3.11-3.39, 1 Sc 3.26, 1 La 3.37
Pr (0.2474, 0.3681, 0.3681)  3 Pr 3.11-3.39, 1 Sc 3.26, 1 La 3.37
Pr (0.0000, 0.6319, 0.8793)  3 Pr 3.11-3.39, 1 Sc 3.26, 1 La 3.37
La (0.5000, 0.7500, 0.2500)  4 Pr 3.52
La (0.5000, 0.2500, 0.7500)  4 Pr 3.52
La (0.0000, 0.5000, 0.5000)  8 Pr 3.27-3.37
Sc (0.0000, 0.0000, 0.0000)  8 Pr 3.03-3.26

## Properties
ΔE_f: 0.479 eV per atom
electronic total energy: -53.6 eV per cell


VASP calculation (GGA-PBE) on a relaxed structure of K3Hf3AgSe8.

abc: 7.9179 7.9179 8.9520
angles: 116.24 90.03 119.96
Last column: nearest neighbours and their distance in Å.
Positions (direct):
Hf (0.0000, 0.5000, 0.5000)  6 Se 2.68-2.75
Hf (0.5000, 0.5000, 0.5000)  6 Se 2.68-2.75
Hf (0.5000, 0.0000, 0.5000)  6 Se 2.68-2.75
Se (0.7332, 0.4664, 0.6996)  3 Hf 2.75
Se (0.2429, 0.4859, 0.6958)  2 Hf 2.68, 1 Ag 2.87
Se (0.2902, 0.0472, 0.3042)  2 Hf 2.68, 1 Ag 2.87
Se (0.7571, 0.0472, 0.3044)  2 Hf 2.68, 1 Ag 2.86
Se (0.2429, 0.9528, 0.6956)  2 Hf 2.68, 1 Ag 2.86
Se (0.2668, 0.5336, 0.3004)  3 Hf 2.75
Se (0.7098, 0.9528, 0.6958)  2 Hf 2.68, 1 Ag 2.87
Se (0.7571, 0.5141, 0.3042)  2 Hf 2.68, 1 Ag 2.87
Ag (0.0000, 0.0000, 0.5000)  6 Se 2.86-2.87
K (0.0000, 0.5000, 0.0000)  6 Se 3.25-3.33
K (0.0000, 0.0000, 0.0000)  6 Se 3.25-3.33
K (0.5000, 0.5000, 0.0000)  6 Se 3.25-3.33

## Properties
electronic total energy: -81.4 eV per cell


VASP calculation (GGA-PBE) on a relaxed structure of K3Dy3PaS8.

abc: 8.0820 8.0825 8.8146
angles: 117.30 90.00 120.00
Last column: nearest neighbours and their distance in Å.
Positions (direct):
K (0.5000, 0.5000, 0.0000)  6 S 3.24-3.25
K (0.0000, 0.0000, 0.0000)  6 S 3.24-3.25
K (0.0000, 0.5000, 0.0000)  6 S 3.24-3.25
S (0.2667, 0.5335, 0.3003)  3 Dy 2.77
S (0.2647, 0.0342, 0.3037)  1 Pa 2.74, 2 Dy 2.77
S (0.7333, 0.4665, 0.6997)  3 Dy 2.77
S (0.7695, 0.0342, 0.3037)  1 Pa 2.74, 2 Dy 2.77
S (0.2305, 0.4610, 0.6963)  1 Pa 2.74, 2 Dy 2.77
S (0.7353, 0.9658, 0.6963)  1 Pa 2.74, 2 Dy 2.77
S (0.2305, 0.9658, 0.6963)  1 Pa 2.74, 2 Dy 2.77
S (0.7695, 0.5390, 0.3037)  1 Pa 2.74, 2 Dy 2.77
Dy (0.0000, 0.5000, 0.5000)  6 S 2.77
Dy (0.5000, 0.0000, 0.5000)  6 S 2.77
Dy (0.5000, 0.5000, 0.5000)  6 S 2.77
Pa (0.0000, 0.0000, 0.5000)  6 S 2.74

## Properties
electronic total energy: -87.1 eV per cell


VASP calculation (GGA-PBE) on a relaxed structure of LaCeSn2.

abc: 4.7627 4.4285 6.3971
angles: 90.00 111.84 90.00
Last column: nearest neighbours and their distance in Å.
Positions (direct):
La (0.7183, 0.0000, 0.9759)  7 Sn 3.27-3.58
Sn (0.1704, 0.5000, 0.8802)  2 Sn 3.05, 1 Ce 3.30, 4 La 3.30
Sn (0.9938, 0.0000, 0.5261)  2 Sn 3.05, 1 La 3.27, 4 Ce 3.30
Ce (0.4486, 0.5000, 0.4357)  7 Sn 3.30-3.56

## Properties
ΔE_f: -0.687 eV per atom
electronic total energy: -21.6 eV per cell


VASP calculation (GGA-PBE) on a relaxed structure of ScFe2Cu.

abc: 3.0471 3.1168 6.7633
angles: 62.53 90.00 90.00
Last column: nearest neighbours and their distance in Å.
Positions (direct):
Fe (0.0000, 0.9852, 0.0143)  4 Fe 2.48, 4 Cu 2.59
Fe (0.5000, 0.2888, 0.2119)  4 Fe 2.48, 1 Cu 2.58, 4 Sc 2.75
Cu (0.5000, 0.7179, 0.7817)  5 Fe 2.58-2.59, 4 Sc 2.79
Sc (0.0000, 0.5082, 0.4920)  5 Fe 2.75-2.87, 4 Cu 2.79, 2 Sc 3.05

## Properties
ΔE_f: 0.009 eV per atom
electronic total energy: -27.3 eV per cell